DFT (GGA-PBE) results for an optimized crystal structure of ScZn2I.

Cell lengths 5.096, 5.096, 5.096 Å; angles 60.00, 60.00, 60.00 degrees
Positions (direct):
I (0.500, 0.500, 0.500)
Sc (0.000, 0.000, 0.000)
Zn (0.250, 0.250, 0.250)
Zn (0.750, 0.750, 0.750)

Calculated values
Symmetry: No. 225
Energy above the most stable polymorph in this dataset: 311 meV/atom
Formation energy from raw total energies: 0.345 eV/atom



DFT (GGA-PBE) results for an optimized crystal structure of Ru3CN.

Cell lengths 3.976, 3.976, 3.976 Å; angles 90.00, 90.00, 90.00 degrees
Positions (direct):
Ru (0.000, 0.500, 0.000)
Ru (0.000, 0.000, 0.500)
Ru (0.500, 0.000, 0.000)
C (0.000, 0.000, 0.000)
N (0.500, 0.500, 0.500)

Calculated values
Symmetry: No. 221
Energy above the most stable polymorph in this dataset: 0 meV/atom
Formation energy from raw total energies: 1.407 eV/atom



DFT (GGA-PBE) results for an optimized crystal structure of Y2AsPb.

Cell lengths 5.281, 5.281, 5.281 Å; angles 60.00, 60.00, 60.00 degrees
Positions (direct):
Pb (0.500, 0.500, 0.500)
Y (0.250, 0.250, 0.250)
Y (0.750, 0.750, 0.750)
As (0.000, 0.000, 0.000)

Calculated values
ΔE_f: -0.6106 eV per atom
Symmetry: No. 225
Energy above the most stable polymorph in this dataset: 405 meV/atom



DFT (GGA-PBE) results for an optimized crystal structure of NaZr2NbTe.

Cell lengths 5.385, 5.104, 5.385 Å; angles 90.00, 90.00, 90.00 degrees
Positions (direct):
Na (0.500, 0.500, 0.500)
Nb (0.000, 0.500, 0.000)
Te (0.000, 0.000, 0.000)
Zr (0.000, 0.000, 0.500)
Zr (0.500, 0.000, 0.000)

Calculated values
Symmetry: No. 123
Formation energy from raw total energies: 0.865 eV/atom



DFT (GGA-PBE) results for an optimized crystal structure of LiCd4Hg15.

Cell lengths 5.184, 4.460, 21.643 Å; angles 90.00, 90.00, 90.00 degrees
Positions (direct):
Li (0.000, 0.000, 0.000)
Cd (0.000, 0.000, 0.196)
Cd (0.000, 0.000, 0.399)
Cd (0.000, 0.000, 0.601)
Cd (0.000, 0.000, 0.804)
Hg (0.500, 0.500, 0.000)
Hg (0.500, 0.500, 0.197)
Hg (0.500, 0.500, 0.399)
Hg (0.500, 0.500, 0.601)
Hg (0.500, 0.500, 0.803)
Hg (0.500, 0.000, 0.097)
Hg (0.500, 0.000, 0.298)
Hg (0.500, 0.000, 0.500)
Hg (0.500, 0.000, 0.702)
Hg (0.500, 0.000, 0.903)
Hg (0.000, 0.500, 0.093)
Hg (0.000, 0.500, 0.297)
Hg (0.000, 0.500, 0.500)
Hg (0.000, 0.500, 0.703)
Hg (0.000, 0.500, 0.907)

Calculated values
ΔE_f: -0.0162 eV per atom
Symmetry: No. 47



DFT (GGA-PBE) results for an optimized crystal structure of Sm12ErAl4O3.

Cell lengths 8.736, 8.736, 8.736 Å; angles 109.47, 109.47, 109.47 degrees
Positions (direct):
Sm (0.250, 0.500, 0.750)
Sm (0.726, 0.000, 0.726)
Sm (0.274, 0.000, 0.274)
Sm (0.750, 0.500, 0.250)
Sm (0.726, 0.726, 0.000)
Sm (0.274, 0.274, 0.000)
Sm (0.750, 0.250, 0.500)
Sm (0.250, 0.750, 0.500)
Sm (0.500, 0.250, 0.750)
Sm (0.000, 0.726, 0.726)
Sm (0.500, 0.750, 0.250)
Sm (0.000, 0.274, 0.274)
Er (0.000, 0.000, 0.000)
Al (0.500, 0.500, 0.500)
Al (0.000, 0.000, 0.500)
Al (0.500, 0.000, 0.000)
Al (0.000, 0.500, 0.000)
O (0.500, 0.000, 0.500)
O (0.500, 0.500, 0.000)
O (0.000, 0.500, 0.500)

Calculated values
Symmetry: No. 229
Formation energy from raw total energies: -0.681 eV/atom



DFT (GGA-PBE) results for an optimized crystal structure of Ac2ZnIrPt.

Cell lengths 4.305, 4.305, 14.225 Å; angles 90.00, 90.00, 90.00 degrees
Positions (direct):
Ac (0.000, 0.500, 0.686)
Ac (0.000, 0.500, 0.104)
Ac (0.500, 0.000, 0.896)
Ac (0.500, 0.000, 0.314)
Zn (0.000, 0.000, 0.500)
Zn (0.500, 0.500, 0.500)
Ir (0.500, 0.000, 0.113)
Ir (0.000, 0.500, 0.887)
Pt (0.500, 0.000, 0.612)
Pt (0.000, 0.500, 0.388)

Calculated values
ΔE_f: -0.7294 eV per atom
Symmetry: No. 129



DFT (GGA-PBE) results for an optimized crystal structure of ScBrCl4.

Cell lengths 5.747, 5.747, 5.747 Å; angles 60.00, 60.00, 60.00 degrees
Positions (direct):
Sc (0.750, 0.750, 0.750)
Br (0.000, 0.000, 0.000)
Cl (0.872, 0.376, 0.376)
Cl (0.376, 0.376, 0.872)
Cl (0.376, 0.872, 0.376)
Cl (0.376, 0.376, 0.376)

Calculated values
Symmetry: No. 216
Formation energy from raw total energies: -0.084 eV/atom



no.,final energy (eV/atom),Fermi-level density of states (states/eV/atom)
1,-2.263,0.985
2,-7.668,1.060
3,-5.932,0.961
4,-5.461,0.667
5,-0.521,0.219
6,-5.232,0.695
7,-5.608,0.415
8,-2.649,0.352